# 1
This record from the Alexandria database describes NbIr after structural relaxation. The functional is PBE.

Total moment: 0.00 μB per formula unit
E_form: 0.3069 eV per atom
Space-group type: P6_3/mmc, No. 194

Lattice parameters (Å, degrees): 4.442 4.442 5.173 90.00 90.00 120.00
Fractional coordinates of all 4 atoms:
Nb1 0.333 0.667 0.250
Nb2 0.667 0.333 0.750
Ir1 0.333 0.667 0.750
Ir2 0.667 0.333 0.250


# 2
This record from the Alexandria database describes Nb5Ir after structural relaxation. The functional is PBE.

Total moment: 0.00 μB per formula unit
E_form: -0.2705 eV per atom
Space-group type: Cmmm, No. 65
Energy above the most stable polymorph in this dataset: 0.000 eV per atom

Lattice parameters (Å, degrees): 4.598 9.866 4.610 90.00 90.00 90.00
Fractional coordinates of all 12 atoms:
Nb1 0.000 0.000 0.000
Nb2 0.000 0.164 0.500
Nb3 0.000 0.335 0.000
Nb4 0.000 0.665 0.000
Nb5 0.000 0.836 0.500
Nb6 0.500 0.165 0.000
Nb7 0.500 0.336 0.500
Nb8 0.500 0.500 0.000
Nb9 0.500 0.664 0.500
Nb10 0.500 0.835 0.000
Ir1 0.000 0.500 0.500
Ir2 0.500 0.000 0.500


# 3
This record from the Alexandria database describes Nb8Ir after structural relaxation. The functional is PBE.

Total moment: 0.00 μB per formula unit
E_form: -0.1927 eV per atom
Space-group type: Fmmm, No. 69

Lattice parameters (Å, degrees): 8.535 7.350 5.435 82.30 58.58 39.12
Fractional coordinates of all 9 atoms:
Nb1 0.164 0.164 0.836
Nb2 0.164 0.836 0.164
Nb3 0.170 0.500 0.500
Nb4 0.500 0.170 0.830
Nb5 0.500 0.830 0.170
Nb6 0.830 0.500 0.500
Nb7 0.836 0.164 0.836
Nb8 0.836 0.836 0.164
Ir1 0.500 0.500 0.500


# 4
This record from the Alexandria database describes NbIr after structural relaxation. The functional is PBE.

Total moment: 0.00 μB per formula unit
E_form: -0.2609 eV per atom
Space-group type: P4/mnc, No. 128

Lattice parameters (Å, degrees): 7.909 7.909 4.466 90.00 90.00 90.00
Fractional coordinates of all 16 atoms:
Nb1 0.040 0.302 0.000
Nb2 0.198 0.460 0.500
Nb3 0.302 0.960 0.000
Nb4 0.460 0.802 0.500
Nb5 0.540 0.198 0.500
Nb6 0.698 0.040 0.000
Nb7 0.802 0.540 0.500
Nb8 0.960 0.698 0.000
Ir1 0.109 0.783 0.500
Ir2 0.217 0.109 0.500
Ir3 0.283 0.609 0.000
Ir4 0.391 0.283 0.000
Ir5 0.609 0.717 0.000
Ir6 0.717 0.391 0.000
Ir7 0.783 0.891 0.500
Ir8 0.891 0.217 0.500


# 5
This record from the Alexandria database describes NbIr after structural relaxation. The functional is PBE.

Total moment: 0.00 μB per formula unit
E_form: -0.4098 eV per atom
Space-group type: P2_12_12_1, No. 19

Lattice parameters (Å, degrees): 5.129 5.188 10.228 90.00 90.00 90.00
Fractional coordinates of all 16 atoms:
Nb1 0.127 0.104 0.012
Nb2 0.133 0.629 0.807
Nb3 0.367 0.371 0.307
Nb4 0.373 0.896 0.512
Nb5 0.627 0.396 0.988
Nb6 0.633 0.871 0.193
Nb7 0.867 0.129 0.693
Nb8 0.873 0.604 0.488
Ir1 0.134 0.893 0.275
Ir2 0.199 0.609 0.060
Ir3 0.301 0.391 0.560
Ir4 0.366 0.107 0.775
Ir5 0.634 0.607 0.725
Ir6 0.699 0.891 0.940
Ir7 0.801 0.109 0.440
Ir8 0.866 0.393 0.225


# 6
This record from the Alexandria database describes NbIr after structural relaxation. The functional is PBE.

Total moment: 0.00 μB per formula unit
E_form: 0.9135 eV per atom
Space-group type: I-43m, No. 217

Lattice parameters (Å, degrees): 7.949 7.949 7.949 90.00 90.00 90.00
Fractional coordinates of all 16 atoms:
Nb1 0.143 0.143 0.143
Nb2 0.143 0.857 0.857
Nb3 0.357 0.357 0.643
Nb4 0.357 0.643 0.357
Nb5 0.643 0.357 0.357
Nb6 0.643 0.643 0.643
Nb7 0.857 0.143 0.857
Nb8 0.857 0.857 0.143
Ir1 0.171 0.171 0.829
Ir2 0.171 0.829 0.171
Ir3 0.329 0.329 0.329
Ir4 0.329 0.671 0.671
Ir5 0.671 0.329 0.671
Ir6 0.671 0.671 0.329
Ir7 0.829 0.171 0.171
Ir8 0.829 0.829 0.829


# 7
This record from the Alexandria database describes Nb4Ir after structural relaxation. The functional is PBE.

Total moment: 0.00 μB per formula unit
E_form: 1.0648 eV per atom
Space-group type: Pm-3m, No. 221

Lattice parameters (Å, degrees): 4.828 4.828 4.828 90.00 90.00 90.00
Fractional coordinates of all 5 atoms:
Nb1 0.000 0.000 0.000
Nb2 0.000 0.500 0.500
Nb3 0.500 0.000 0.500
Nb4 0.500 0.500 0.000
Ir1 0.500 0.500 0.500


# 8
This record from the Alexandria database describes NbIr3 after structural relaxation. The functional is PBE.

Total moment: 0.00 μB per formula unit
E_form: -0.3472 eV per atom
Space-group type: Imm2, No. 44

Lattice parameters (Å, degrees): 2.812 8.940 4.855 90.00 90.00 90.00
Fractional coordinates of all 8 atoms:
Nb1 0.000 0.000 0.000
Nb2 0.500 0.500 0.500
Ir1 0.000 0.248 0.334
Ir2 0.000 0.500 0.998
Ir3 0.000 0.752 0.334
Ir4 0.500 0.000 0.498
Ir5 0.500 0.252 0.834
Ir6 0.500 0.748 0.834